# VB2Se | Alexandria via LeMat-Bulk | PBE-GGA | optimized geometry
data_VB2Se
_cell_length_a 5.657
_cell_length_b 5.657
_cell_length_c 5.657
_cell_angle_alpha 126.82
_cell_angle_beta 126.82
_cell_angle_gamma 78.54
_symmetry_space_group_name_H-M 'P 1'
_symmetry_Int_Tables_number 1
_symmetry_space_group_name_Hall 'P 1'
loop_
_atom_site_label
_atom_site_type_symbol
_atom_site_fract_x
_atom_site_fract_y
_atom_site_fract_z
V1 V 0.000 0.000 0.000
V2 V 0.750 0.250 0.500
B1 B 0.131 0.625 0.006
B2 B 0.375 0.381 0.506
B3 B 0.619 0.125 0.994
B4 B 0.875 0.869 0.494
Se1 Se 0.250 0.750 0.500
Se2 Se 0.500 0.500 0.000
# Formation energy from raw total energies: 0.797 eV per atom
# DOS at the Fermi energy: 0.530 states/eV/atom
# SG: I-42d (122)



# Li2CuTe2S6 | Alexandria via LeMat-Bulk | PBE-GGA | optimized geometry
data_Li2CuTe2S6
_cell_length_a 6.561
_cell_length_b 6.561
_cell_length_c 6.657
_cell_angle_alpha 99.86
_cell_angle_beta 99.86
_cell_angle_gamma 120.67
_symmetry_space_group_name_H-M 'P 1'
_symmetry_Int_Tables_number 1
_symmetry_space_group_name_Hall 'P 1'
loop_
_atom_site_label
_atom_site_type_symbol
_atom_site_fract_x
_atom_site_fract_y
_atom_site_fract_z
Li1 Li 0.164 0.836 0.000
Li2 Li 0.836 0.164 0.000
Cu1 Cu 0.000 0.000 0.500
Te1 Te 0.330 0.670 0.500
Te2 Te 0.670 0.330 0.500
S1 S 0.079 0.427 0.747
S2 S 0.203 0.203 0.279
S3 S 0.427 0.079 0.747
S4 S 0.573 0.921 0.253
S5 S 0.797 0.797 0.721
S6 S 0.921 0.573 0.253
# Formation energy from raw total energies: -0.299 eV per atom
# DOS at the Fermi energy: 0.494 states/eV/atom
# SG: C2/m (12)



# Mn2CuAsH | Alexandria via LeMat-Bulk | PBE-GGA | optimized geometry
data_Mn2CuAsH
_cell_length_a 4.816
_cell_length_b 4.816
_cell_length_c 4.505
_cell_angle_alpha 90.00
_cell_angle_beta 90.00
_cell_angle_gamma 90.00
_symmetry_space_group_name_H-M 'P 1'
_symmetry_Int_Tables_number 1
_symmetry_space_group_name_Hall 'P 1'
loop_
_atom_site_label
_atom_site_type_symbol
_atom_site_fract_x
_atom_site_fract_y
_atom_site_fract_z
Mn1 Mn 0.000 0.500 0.000
Mn2 Mn 0.500 0.000 0.000
Cu1 Cu 0.000 0.000 0.500
As1 As 0.000 0.000 0.000
H1 H 0.500 0.500 0.500
# Energy above the lowest structure with this stoichiometry: 881.3 meV/atom
# DOS at the Fermi energy: 0.797 states/eV/atom
# SG: P4/mmm (123)



# Ac2Hg5Pt | Alexandria via LeMat-Bulk | PBE-GGA | optimized geometry
data_Ac2Hg5Pt
_cell_length_a 7.296
_cell_length_b 13.496
_cell_length_c 4.570
_cell_angle_alpha 90.00
_cell_angle_beta 90.00
_cell_angle_gamma 90.00
_symmetry_space_group_name_H-M 'P 1'
_symmetry_Int_Tables_number 1
_symmetry_space_group_name_Hall 'P 1'
loop_
_atom_site_label
_atom_site_type_symbol
_atom_site_fract_x
_atom_site_fract_y
_atom_site_fract_z
Ac1 Ac 0.195 0.108 0.000
Ac2 Ac 0.305 0.608 0.000
Ac3 Ac 0.695 0.392 0.000
Ac4 Ac 0.805 0.892 0.000
Hg1 Hg 0.000 0.500 0.500
Hg2 Hg 0.099 0.777 0.500
Hg3 Hg 0.163 0.362 0.000
Hg4 Hg 0.337 0.862 0.000
Hg5 Hg 0.401 0.277 0.500
Hg6 Hg 0.500 0.000 0.500
Hg7 Hg 0.599 0.723 0.500
Hg8 Hg 0.663 0.138 0.000
Hg9 Hg 0.837 0.638 0.000
Hg10 Hg 0.901 0.223 0.500
Pt1 Pt 0.000 0.000 0.500
Pt2 Pt 0.500 0.500 0.500
# ΔE_f: -0.46 eV per atom
# DOS at the Fermi energy: 0.517 states/eV/atom
# SG: Pbam (55)



# Ba4Zn2Au | Alexandria via LeMat-Bulk | PBE-GGA | optimized geometry
data_Ba4Zn2Au
_cell_length_a 6.620
_cell_length_b 6.620
_cell_length_c 21.417
_cell_angle_alpha 90.00
_cell_angle_beta 90.00
_cell_angle_gamma 139.69
_symmetry_space_group_name_H-M 'P 1'
_symmetry_Int_Tables_number 1
_symmetry_space_group_name_Hall 'P 1'
loop_
_atom_site_label
_atom_site_type_symbol
_atom_site_fract_x
_atom_site_fract_y
_atom_site_fract_z
Ba1 Ba 0.000 0.000 0.000
Ba2 Ba 0.000 0.000 0.500
Ba3 Ba 0.277 0.723 0.636
Ba4 Ba 0.277 0.723 0.864
Ba5 Ba 0.453 0.547 0.250
Ba6 Ba 0.547 0.453 0.750
Ba7 Ba 0.723 0.277 0.136
Ba8 Ba 0.723 0.277 0.364
Zn1 Zn 0.283 0.717 0.020
Zn2 Zn 0.283 0.717 0.480
Zn3 Zn 0.717 0.283 0.520
Zn4 Zn 0.717 0.283 0.980
Au1 Au 0.166 0.834 0.250
Au2 Au 0.834 0.166 0.750
# Energy above the lowest structure with this stoichiometry: 0.0 meV/atom
# ΔE_f: -0.26 eV per atom
# DOS at the Fermi energy: 1.176 states/eV/atom
# SG: Cmcm (63)



# CdMoSe2 | Alexandria via LeMat-Bulk | PBE-GGA | optimized geometry
data_CdMoSe2
_cell_length_a 9.919
_cell_length_b 9.919
_cell_length_c 9.919
_cell_angle_alpha 18.86
_cell_angle_beta 18.86
_cell_angle_gamma 18.86
_symmetry_space_group_name_H-M 'P 1'
_symmetry_Int_Tables_number 1
_symmetry_space_group_name_Hall 'P 1'
loop_
_atom_site_label
_atom_site_type_symbol
_atom_site_fract_x
_atom_site_fract_y
_atom_site_fract_z
Cd1 Cd 0.000 0.000 0.000
Mo1 Mo 0.500 0.500 0.500
Se1 Se 0.226 0.226 0.226
Se2 Se 0.774 0.774 0.774
# Formation energy from raw total energies: -0.295 eV per atom
# Energy above the lowest structure with this stoichiometry: 5.3 meV/atom
# DOS at the Fermi energy: 0.524 states/eV/atom
# SG: R-3m (166)